(1)
# BeFe2Co | Alexandria via LeMat-Bulk | PBE-GGA | relaxed
data_BeFe2Co
_chemical_formula_sum 'Be2 Fe4 Co2'
_symmetry_space_group_name_H-M 'C 1 2/m 1'
_symmetry_Int_Tables_number 12
_symmetry_space_group_name_Hall '-C 2y'
_cell_length_a 8.592
_cell_length_b 2.799
_cell_length_c 3.819
_cell_angle_alpha 90.00
_cell_angle_beta 116.27
_cell_angle_gamma 90.00
loop_
_atom_site_label
_atom_site_type_symbol
_atom_site_fract_x
_atom_site_fract_y
_atom_site_fract_z
_atom_site_occupancy
Be1 Be 0.000 0.000 0.000 1
Fe1 Fe 0.247 0.500 0.247 1
Co1 Co 0.000 0.500 0.500 1
# Energy of formation from the pure elements (eV per formula unit): -0.3
# Total moment (Bohr magnetons per cell): 10.588
# Calculated volume (Å³/cell): 82

***

(2)
# Sr2VN3 | Alexandria via LeMat-Bulk | PBE-GGA | relaxed
data_Sr2VN3
_chemical_formula_sum 'Sr16 V8 N24'
_symmetry_space_group_name_H-M 'C 1 2/c 1'
_symmetry_Int_Tables_number 15
_symmetry_space_group_name_Hall '-C 2yc'
_cell_length_a 5.752
_cell_length_b 11.079
_cell_length_c 12.359
_cell_angle_alpha 90.00
_cell_angle_beta 90.67
_cell_angle_gamma 90.00
loop_
_atom_site_label
_atom_site_type_symbol
_atom_site_fract_x
_atom_site_fract_y
_atom_site_fract_z
_atom_site_occupancy
Sr1 Sr 0.245 0.111 0.423 1
Sr2 Sr 0.248 0.197 0.854 1
V1 V 0.245 0.497 0.336 1
N1 N 0.000 0.023 0.250 1
N2 N 0.000 0.450 0.750 1
N3 N 0.223 0.339 0.367 1
N4 N 0.239 0.090 0.046 1
# Total moment (Bohr magnetons per cell): 0.000
# Formation energy from raw total energies (meV per atom): -1132.6
# Calculated volume (Å³/cell): 788

***

(3)
# Pr2GePIr6 | Alexandria via LeMat-Bulk | PBE-GGA | relaxed
data_Pr2GePIr6
_chemical_formula_sum 'Pr4 Ge2 P2 Ir12'
_symmetry_space_group_name_H-M 'P m m n'
_symmetry_Int_Tables_number 59
_cell_length_a 5.451
_cell_length_b 8.744
_cell_length_c 8.079
_cell_angle_alpha 90.00
_cell_angle_beta 90.00
_cell_angle_gamma 90.00
loop_
_symmetry_equiv_pos_as_xyz
'x,y,z'
'-x,-y,-z'
'-x+1/2,-y+1/2,z'
'x+1/2,y+1/2,-z'
'x+1/2,-y,-z'
'-x+1/2,y,z'
'-x,y+1/2,-z'
'x,-y+1/2,z'
loop_
_atom_site_label
_atom_site_type_symbol
_atom_site_fract_x
_atom_site_fract_y
_atom_site_fract_z
_atom_site_occupancy
Pr1 Pr 0.250 0.017 0.213 1
Ge1 Ge 0.250 0.750 0.759 1
P1 P 0.250 0.250 0.750 1
Ir1 Ir 0.008 0.750 0.479 1
Ir2 Ir 0.009 0.750 0.024 1
Ir3 Ir 0.250 0.502 0.592 1
# Energy of formation from the pure elements (eV per formula unit): -4.8
# Total moment (Bohr magnetons per cell): 0.000
# Calculated volume (Å³/cell): 385

***

(4)
# CaAuSe | Alexandria via LeMat-Bulk | PBE-GGA | relaxed
data_CaAuSe
_chemical_formula_sum 'Ca2 Au2 Se2'
_symmetry_space_group_name_H-M 'I 4 m m'
_symmetry_Int_Tables_number 107
_symmetry_space_group_name_Hall 'I 4 -2'
_cell_length_a 3.913
_cell_length_b 3.913
_cell_length_c 9.390
_cell_angle_alpha 90.00
_cell_angle_beta 90.00
_cell_angle_gamma 90.00
loop_
_atom_site_label
_atom_site_type_symbol
_atom_site_fract_x
_atom_site_fract_y
_atom_site_fract_z
_atom_site_occupancy
Ca1 Ca 0.000 0.000 0.000 1
Au1 Au 0.000 0.000 0.329 1
Se1 Se 0.000 0.000 0.621 1
# Total moment (Bohr magnetons per cell): 0.000
# Distance to the lowest polymorph of the same formula (meV/atom): 160.5
# Formation energy from raw total energies (meV per atom): -827.0
# Calculated volume (Å³/cell): 144

***

(5)
# Ag5BS4 | Alexandria via LeMat-Bulk | PBE-GGA | relaxed
data_Ag5BS4
_chemical_formula_sum 'Ag40 B8 S32'
_symmetry_space_group_name_H-M 'F -4 3 m'
_symmetry_Int_Tables_number 216
_symmetry_space_group_name_Hall 'F -4 2 3'
_cell_length_a 11.586
_cell_length_b 11.586
_cell_length_c 11.586
_cell_angle_alpha 90.00
_cell_angle_beta 90.00
_cell_angle_gamma 90.00
loop_
_atom_site_label
_atom_site_type_symbol
_atom_site_fract_x
_atom_site_fract_y
_atom_site_fract_z
_atom_site_occupancy
Ag1 Ag 0.000 0.000 0.220 1
Ag2 Ag 0.164 0.164 0.164 1
B1 B 0.000 0.000 0.500 1
B2 B 0.250 0.250 0.750 1
S1 S 0.099 0.099 0.401 1
S2 S 0.151 0.151 0.849 1
# Total moment (Bohr magnetons per cell): 0.002
# Distance to the lowest polymorph of the same formula (meV/atom): 206.3
# Formation energy from raw total energies (meV per atom): 97.1
# Calculated volume (Å³/cell): 1555

***

(6)
# NbNiPd | Alexandria via LeMat-Bulk | PBE-GGA | relaxed
data_NbNiPd
_chemical_formula_sum 'Nb4 Ni4 Pd4'
_symmetry_space_group_name_H-M 'C m c m'
_symmetry_Int_Tables_number 63
_symmetry_space_group_name_Hall '-C 2c 2'
_cell_length_a 2.802
_cell_length_b 14.131
_cell_length_c 4.423
_cell_angle_alpha 90.00
_cell_angle_beta 90.00
_cell_angle_gamma 90.00
loop_
_atom_site_label
_atom_site_type_symbol
_atom_site_fract_x
_atom_site_fract_y
_atom_site_fract_z
_atom_site_occupancy
Nb1 Nb 0.000 0.104 0.250 1
Ni1 Ni 0.000 0.449 0.250 1
Pd1 Pd 0.000 0.216 0.750 1
# Energy of formation from the pure elements (eV per formula unit): -1.0
# Total moment (Bohr magnetons per cell): 0.000
# Distance to the lowest polymorph of the same formula (meV/atom): 0.0
# Calculated volume (Å³/cell): 175

***

Among the records above, which one has the highest total moment? BeFe2Co